A plane-wave DFT calculation with PBEsol was carried out for a relaxed Ca2BeCuF crystal.

* SG: No. 123
* calculated volume: 88.3 Å³ per cell
* final energy: -3.580 eV/atom
* crystal system: tetragonal
* magnetization: 0.00 μB/cell
* uncorrected formation energy: -0.674 eV/atom

Cell: 3.7812 4.8334 4.8334 Å, 90.00 90.00 90.00°
Fractional coordinates of all 5 atoms:
1 Be 0.5000 0.0000 0.0000
2 Ca 0.0000 0.0000 0.5000
3 Ca 0.0000 0.5000 0.0000
4 Cu 0.5000 0.5000 0.5000
5 F 0.0000 0.0000 0.0000